Os after structural relaxation, computed with GGA-PBE.

The structure in POSCAR format:
```
Os
1.0
-7.0170 -0.5311 0.6610
0.3703 -6.8759 -1.5941
0.3884 -0.7883 3.4902
Os
8
Direct
0.8072 0.1928 0.0000
0.3072 0.3072 0.5000
0.6928 0.6928 0.5000
0.1928 0.8072 0.0000
0.8494 0.8494 0.0000
0.3494 0.6506 0.5000
0.6506 0.3494 0.5000
0.1506 0.1506 0.0000
```

Results
* space-group type: No. 136
* energy: -78.682 eV/cell
* excess energy over the best structure of this formula in the dataset: 1394 meV/atom
* mass density: 14055 kg/m3
* energy of formation: 1394 meV per atom